(1)
TbPr3Sc | PBE | optimized geometry

Results
Energy relative to the elements in kJ/mol of formula units: 191
Offset from the most stable computed form in meV/atom: 208

Unit cell a=10.127 b=10.127 c=10.127 alpha=146.42 beta=51.22 gamma=142.49
Sites, in units of the cell vectors:
Tb 0.416 0.166 0.250
Tb 0.584 0.834 0.750
Pr 0.076 0.986 0.091
Pr 0.118 0.368 0.750
Pr 0.395 0.986 0.409
Pr 0.605 0.014 0.591
Pr 0.882 0.632 0.250
Pr 0.924 0.014 0.909
Sc 0.000 0.500 0.500
Sc 0.500 0.500 0.000

---

(2)
RbZrIr2S | PBE | optimized geometry

Results
Formation energy from raw total energies in eV/atom: 0.955

Unit cell a=4.496 b=4.496 c=5.368 alpha=90.00 beta=90.00 gamma=90.00
Sites, in units of the cell vectors:
Rb 0.000 0.000 0.000
Zr 0.500 0.500 0.000
Ir 0.000 0.500 0.500
Ir 0.500 0.000 0.500
S 0.000 0.000 0.500

---

(3)
NaSbAu2 | PBE | optimized geometry

Results
Formation energy from raw total energies in eV/atom: -0.240

Unit cell a=5.799 b=5.799 c=7.407 alpha=90.00 beta=90.00 gamma=132.40
Sites, in units of the cell vectors:
Na 0.062 0.938 0.750
Na 0.938 0.062 0.250
Sb 0.233 0.767 0.250
Sb 0.767 0.233 0.750
Au 0.372 0.628 0.561
Au 0.372 0.628 0.939
Au 0.628 0.372 0.061
Au 0.628 0.372 0.439

---

(4)
SrLiNi2 | PBE | optimized geometry

Results
Energy relative to the elements in kJ/mol of formula units: 119
Offset from the most stable computed form in meV/atom: 311

Unit cell a=4.167 b=4.167 c=4.042 alpha=90.00 beta=90.00 gamma=90.00
Sites, in units of the cell vectors:
Sr 0.000 0.000 0.000
Li 0.500 0.500 0.000
Ni 0.000 0.500 0.500
Ni 0.500 0.000 0.500

---

(5)
LiPd5Pt6 | PBE | optimized geometry

Results
Energy relative to the elements in kJ/mol of formula units: -164

Unit cell a=7.350 b=7.350 c=7.350 alpha=149.17 beta=114.61 gamma=74.03
Sites, in units of the cell vectors:
Li 0.000 0.000 0.000
Pd 0.159 0.659 0.500
Pd 0.333 0.333 0.000
Pd 0.500 0.000 0.500
Pd 0.667 0.667 0.000
Pd 0.841 0.341 0.500
Pt 0.083 0.835 0.248
Pt 0.248 0.500 0.748
Pt 0.414 0.165 0.248
Pt 0.586 0.835 0.752
Pt 0.752 0.500 0.252
Pt 0.917 0.165 0.752

---

(6)
MgScSb3 | PBE | optimized geometry

Results
Offset from the most stable computed form in meV/atom: 267
Formation energy from raw total energies in eV/atom: 0.413

Unit cell a=5.315 b=5.315 c=5.315 alpha=90.00 beta=90.00 gamma=90.00
Sites, in units of the cell vectors:
Mg 0.000 0.000 0.000
Sc 0.500 0.500 0.500
Sb 0.000 0.000 0.500
Sb 0.000 0.500 0.000
Sb 0.500 0.000 0.000

---

(7)
GdHoIrAu | PBE | optimized geometry

Results
Energy relative to the elements in kJ/mol of formula units: -311

Unit cell a=4.980 b=4.980 c=4.980 alpha=60.00 beta=60.00 gamma=60.00
Sites, in units of the cell vectors:
Gd 0.000 0.000 0.000
Ho 0.500 0.500 0.500
Ir 0.250 0.250 0.250
Au 0.750 0.750 0.750

---

(8)
Na4SnPb | PBE | optimized geometry

Results
Energy relative to the elements in kJ/mol of formula units: -78
Offset from the most stable computed form in meV/atom: 0

Unit cell a=9.855 b=9.855 c=5.373 alpha=90.00 beta=90.00 gamma=140.46
Sites, in units of the cell vectors:
Na 0.040 0.457 0.250
Na 0.203 0.286 0.250
Na 0.286 0.203 0.750
Na 0.457 0.040 0.750
Na 0.543 0.960 0.250
Na 0.714 0.797 0.250
Na 0.797 0.714 0.750
Na 0.960 0.543 0.750
Sn 0.126 0.874 0.250
Sn 0.874 0.126 0.750
Pb 0.377 0.623 0.750
Pb 0.623 0.377 0.250

---

(9)
Tb14DyHf | PBE | optimized geometry

Results
Energy relative to the elements in kJ/mol of formula units: 74

Unit cell a=7.062 b=7.062 c=9.964 alpha=90.00 beta=90.00 gamma=90.00
Sites, in units of the cell vectors:
Tb 0.000 0.000 0.000
Tb 0.000 0.500 0.000
Tb 0.000 0.500 0.500
Tb 0.245 0.245 0.256
Tb 0.245 0.245 0.744
Tb 0.245 0.755 0.256
Tb 0.245 0.755 0.744
Tb 0.500 0.000 0.000
Tb 0.500 0.000 0.500
Tb 0.500 0.500 0.000
Tb 0.755 0.245 0.256
Tb 0.755 0.245 0.744
Tb 0.755 0.755 0.256
Tb 0.755 0.755 0.744
Dy 0.500 0.500 0.500
Hf 0.000 0.000 0.500

---

(10)
VFe3Rh4 | PBE | optimized geometry

Results
Energy relative to the elements in kJ/mol of formula units: -110

Unit cell a=8.614 b=5.465 c=4.522 alpha=90.00 beta=90.00 gamma=90.00
Sites, in units of the cell vectors:
V 0.000 0.000 0.000
V 0.500 0.000 0.000
Fe 0.000 0.500 0.000
Fe 0.250 0.000 0.362
Fe 0.250 0.500 0.355
Fe 0.500 0.500 0.000
Fe 0.750 0.000 0.638
Fe 0.750 0.500 0.645
Rh 0.000 0.249 0.500
Rh 0.000 0.751 0.500
Rh 0.250 0.252 0.868
Rh 0.250 0.748 0.868
Rh 0.500 0.249 0.500
Rh 0.500 0.751 0.500
Rh 0.750 0.252 0.132
Rh 0.750 0.748 0.132

---

(11)
TbNd2ErAs4 | PBE | optimized geometry

Results
Energy relative to the elements in kJ/mol of formula units: -1169

Unit cell a=7.257 b=4.195 c=7.262 alpha=90.00 beta=109.48 gamma=90.00
Sites, in units of the cell vectors:
Tb 0.000 0.000 0.000
Nd 0.500 0.000 0.500
Nd 0.500 0.500 0.000
Er 0.000 0.500 0.500
As 0.239 0.000 0.745
As 0.241 0.500 0.248
As 0.759 0.500 0.752
As 0.761 0.000 0.255

---

(12)
GdMgPdRh | PBE | optimized geometry

Results
Energy relative to the elements in kJ/mol of formula units: -272

Unit cell a=4.738 b=4.738 c=4.738 alpha=60.00 beta=60.00 gamma=60.00
Sites, in units of the cell vectors:
Gd 0.000 0.000 0.000
Mg 0.500 0.500 0.500
Pd 0.250 0.250 0.250
Rh 0.750 0.750 0.750

---

no.,total magnetic moment (μB per formula unit)
1,0.00
2,1.88
3,0.00
4,0.00
5,0.00
6,0.00
7,7.22
8,0.00
9,0.00
10,8.26
11,0.00
12,7.19